Version a
Compound: Tb12Pm2Sm5
Source: Alexandria
Functional: GGA-PBE
Structure: relaxed

Values from the calculation:
As for the symmetry: P-1, No. 2. The density of states at the Fermi level comes out at 1.352 states/eV/atom.

a b c (Å): 6.303 12.152 17.433
angles (deg): 151.34 102.10 80.58
Fractional positions:
Sm 0.784 0.314 0.825
Sm 0.000 0.000 0.500
Sm 0.216 0.686 0.175
Pm 0.744 0.061 0.996
Tb 0.234 0.251 0.038
Tb 0.766 0.749 0.962
Tb 0.271 0.539 0.899
Tb 0.312 0.092 0.759
Sm 0.362 0.667 0.660
Tb 0.460 0.248 0.575
Tb 0.688 0.908 0.241
Sm 0.638 0.333 0.340
Pm 0.256 0.939 0.004
Tb 0.085 0.537 0.373
Tb 0.729 0.461 0.101
Tb 0.915 0.463 0.627
Tb 0.837 0.883 0.706
Tb 0.163 0.117 0.294
Tb 0.540 0.752 0.425

=====

Version b
Compound: Tb12Pm2Sm5
Source: Alexandria
Functional: GGA-PBE
Structure: relaxed

Values from the calculation:
As for the symmetry: C2/m, No. 12. The density of states at the Fermi level comes out at 1.379 states/eV/atom.

a b c (Å): 9.306 12.374 8.699
angles (deg): 132.58 90.00 112.09
Fractional positions:
Tb 0.969 0.297 0.056
Pm 0.673 0.000 0.000
Sm 0.231 0.462 0.891
Tb 0.328 0.297 0.056
Sm 0.000 0.000 0.500
Sm 0.708 0.416 0.391
Tb 0.822 0.261 0.591
Tb 0.178 0.739 0.409
Tb 0.073 0.147 0.272
Sm 0.292 0.584 0.609
Sm 0.769 0.538 0.109
Tb 0.031 0.703 0.944
Tb 0.672 0.703 0.944
Tb 0.557 0.114 0.776
Tb 0.927 0.853 0.728
Tb 0.561 0.739 0.409
Tb 0.443 0.886 0.224
Tb 0.439 0.261 0.591
Pm 0.327 0.000 0.000

=====

Winner for stability: version a

=====

Version a
Compound: Tb4Pm2Sm3
Source: Alexandria
Functional: GGA-PBE
Structure: relaxed

Values from the calculation:
As for the symmetry: C2/c, No. 15. The density of states at the Fermi level comes out at 1.352 states/eV/atom.

a b c (Å): 6.168 11.386 11.386
angles (deg): 61.78 62.43 62.43
Fractional positions:
Tb 0.423 0.907 0.186
Pm 0.578 0.762 0.481
Sm 0.761 0.067 0.264
Sm 0.250 0.599 0.401
Pm 0.078 0.481 0.762
Tb 0.582 0.423 0.146
Pm 0.922 0.519 0.238
Pm 0.422 0.238 0.519
Tb 0.418 0.577 0.854
Sm 0.261 0.264 0.067
Tb 0.577 0.093 0.814
Tb 0.082 0.146 0.423
Tb 0.077 0.814 0.093
Tb 0.923 0.186 0.907
Sm 0.739 0.736 0.933
Tb 0.918 0.854 0.577
Sm 0.239 0.933 0.736
Sm 0.750 0.401 0.599

=====

Version b
Compound: Tb4Pm2Sm3
Source: Alexandria
Functional: GGA-PBE
Structure: relaxed

Values from the calculation:
As for the symmetry: P-1, No. 2. The density of states at the Fermi level comes out at 1.348 states/eV/atom.

a b c (Å): 6.236 6.242 12.972
angles (deg): 118.74 103.86 119.95
Fractional positions:
Tb 0.110 0.220 0.332
Tb 0.890 0.780 0.668
Sm 0.000 0.000 0.000
Tb 0.333 0.666 0.000
Sm 0.443 0.888 0.332
Pm 0.224 0.446 0.667
Sm 0.557 0.112 0.668
Pm 0.776 0.554 0.333
Tb 0.667 0.334 0.000

=====

Winner for stability: version b

=====

Version a
Compound: Tb2PmSm2
Source: Alexandria
Functional: GGA-PBE
Structure: relaxed

Values from the calculation:
As for the symmetry: C2/c, No. 15. The density of states at the Fermi level comes out at 1.329 states/eV/atom.

a b c (Å): 9.229 9.229 6.386
angles (deg): 122.42 122.42 92.10
Fractional positions:
Tb 0.680 0.320 0.750
Sm 0.264 0.385 0.570
Tb 0.199 0.801 0.750
Sm 0.736 0.615 0.430
Pm 0.070 0.930 0.250
Tb 0.801 0.199 0.250
Tb 0.320 0.680 0.250
Pm 0.930 0.070 0.750
Sm 0.385 0.264 0.070
Sm 0.615 0.736 0.930

=====

Version b
Compound: Tb2PmSm2
Source: Alexandria
Functional: GGA-PBE
Structure: relaxed

Values from the calculation:
As for the symmetry: C2/c, No. 15. The density of states at the Fermi level comes out at 1.371 states/eV/atom.

a b c (Å): 6.301 6.301 9.478
angles (deg): 110.52 101.68 99.68
Fractional positions:
Sm 0.447 0.367 0.149
Tb 0.223 0.368 0.474
Tb 0.894 0.250 0.026
Tb 0.777 0.632 0.526
Tb 0.106 0.750 0.974
Sm 0.782 0.203 0.649
Pm 0.714 0.964 0.250
Sm 0.218 0.797 0.351
Pm 0.286 0.036 0.750
Sm 0.553 0.633 0.851

=====

Winner for stability: version b

=====

Version a
Compound: Tb2Pm5Sm2
Source: Alexandria
Functional: GGA-PBE
Structure: relaxed

Values from the calculation:
As for the symmetry: C2/m, No. 12. The density of states at the Fermi level comes out at 1.400 states/eV/atom.

a b c (Å): 5.135 9.574 8.110
angles (deg): 53.71 71.54 74.44
Fractional positions:
Pm 0.778 0.334 0.110
Sm 0.890 0.666 0.554
Pm 0.222 0.666 0.890
Tb 0.445 0.335 0.776
Tb 0.555 0.665 0.224
Sm 0.110 0.334 0.446
Pm 0.000 0.000 0.000
Pm 0.666 0.999 0.668
Pm 0.334 0.001 0.332

=====

Version b
Compound: Tb2Pm5Sm2
Source: Alexandria
Functional: GGA-PBE
Structure: relaxed

Values from the calculation:
As for the symmetry: Ima2, No. 46. The density of states at the Fermi level comes out at 1.521 states/eV/atom.

a b c (Å): 11.946 6.845 10.179
angles (deg): 109.65 125.93 90.00
Fractional positions:
Pm 0.590 0.241 0.713
Pm 0.202 0.158 0.896
Sm 0.744 0.847 0.500
Pm 0.410 0.528 0.287
Sm 0.500 0.535 0.000
Sm 0.000 0.035 0.000
Sm 0.256 0.347 0.500
Pm 0.798 0.261 0.104
Pm 0.010 0.654 0.500
Tb 0.377 0.930 0.747
Tb 0.869 0.430 0.747
Tb 0.623 0.183 0.253
Pm 0.623 0.741 0.713
Tb 0.131 0.683 0.253
Pm 0.377 0.028 0.287
Pm 0.194 0.658 0.896
Pm 0.806 0.761 0.104
Pm 0.990 0.154 0.500

=====

Winner for stability: version a

=====

Version a
Compound: Tb4Pm3Sm5
Source: Alexandria
Functional: GGA-PBE
Structure: relaxed

Values from the calculation:
As for the symmetry: P-1, No. 2. The density of states at the Fermi level comes out at 1.322 states/eV/atom.

a b c (Å): 7.219 11.420 13.022
angles (deg): 151.29 56.35 129.25
Fractional positions:
Sm 0.500 0.000 0.500
Pm 0.000 0.000 0.500
Sm 0.749 0.501 0.001
Pm 0.586 0.168 0.334
Pm 0.414 0.832 0.666
Tb 0.835 0.668 0.834
Sm 0.334 0.668 0.833
Tb 0.165 0.332 0.166
Sm 0.666 0.332 0.167
Sm 0.251 0.499 0.999
Tb 0.917 0.833 0.667
Tb 0.083 0.167 0.333

=====

Version b
Compound: Tb4Pm3Sm5
Source: Alexandria
Functional: GGA-PBE
Structure: relaxed

Values from the calculation:
As for the symmetry: C2/m, No. 12. The density of states at the Fermi level comes out at 1.609 states/eV/atom.

a b c (Å): 5.981 8.649 9.766
angles (deg): 60.71 72.17 69.77
Fractional positions:
Tb 0.918 0.221 0.942
Sm 0.575 0.048 0.801
Pm 0.000 0.500 0.500
Tb 0.213 0.952 0.622
Sm 0.425 0.952 0.199
Tb 0.787 0.048 0.378
Pm 0.327 0.459 0.887
Sm 0.792 0.688 0.728
Tb 0.082 0.779 0.058
Sm 0.208 0.312 0.272
Sm 0.500 0.500 0.500
Pm 0.673 0.541 0.113

=====

Winner for stability: version a

=====

Version a
Compound: Tb2PmSm8
Source: Alexandria
Functional: GGA-PBE
Structure: relaxed

Values from the calculation:
As for the symmetry: C2/m, No. 12. The density of states at the Fermi level comes out at 1.613 states/eV/atom.

a b c (Å): 6.720 10.375 10.375
angles (deg): 38.01 59.49 59.49
Fractional positions:
Sm 0.231 0.826 0.352
Sm 0.175 0.756 0.756
Sm 0.769 0.174 0.648
Sm 0.272 0.409 0.409
Sm 0.728 0.591 0.591
Sm 0.769 0.648 0.174
Tb 0.600 0.798 0.798
Pm 0.000 0.000 0.000
Tb 0.400 0.202 0.202
Sm 0.825 0.244 0.244
Sm 0.231 0.352 0.826

=====

Version b
Compound: Tb2PmSm8
Source: Alexandria
Functional: GGA-PBE
Structure: relaxed

Values from the calculation:
As for the symmetry: C2/m, No. 12. The density of states at the Fermi level comes out at 1.477 states/eV/atom.

a b c (Å): 5.114 8.098 9.563
angles (deg): 104.74 105.51 90.00
Fractional positions:
Sm 0.318 0.090 0.636
Pm 0.500 0.000 0.000
Tb 0.773 0.364 0.545
Sm 0.137 0.184 0.274
Sm 0.954 0.273 0.908
Sm 0.863 0.816 0.726
Sm 0.046 0.727 0.092
Sm 0.408 0.545 0.817
Sm 0.592 0.455 0.183
Tb 0.227 0.636 0.455
Sm 0.682 0.910 0.364

=====

Winner for stability: version b

=====

Version a
Compound: Tb3Pm3Sm5
Source: Alexandria
Functional: GGA-PBE
Structure: relaxed

Values from the calculation:
As for the symmetry: P-62m, No. 189. The density of states at the Fermi level comes out at 1.667 states/eV/atom.

a b c (Å): 3.463 11.317 11.317
angles (deg): 120.00 90.00 90.00
Fractional positions:
Pm 0.000 0.000 0.597
Sm 0.500 0.000 0.339
Sm 0.500 0.333 0.667
Tb 0.500 0.159 0.159
Pm 0.000 0.597 0.000
Sm 0.500 0.339 0.000
Sm 0.500 0.667 0.333
Sm 0.500 0.661 0.661
Tb 0.500 0.000 0.841
Pm 0.000 0.403 0.403
Tb 0.500 0.841 0.000

=====

Version b
Compound: Tb3Pm3Sm5
Source: Alexandria
Functional: GGA-PBE
Structure: relaxed

Values from the calculation:
As for the symmetry: P-62m, No. 189. The density of states at the Fermi level comes out at 1.770 states/eV/atom.

a b c (Å): 5.537 9.744 9.744
angles (deg): 120.00 90.00 90.00
Fractional positions:
Tb 0.500 0.633 0.633
Tb 0.500 0.000 0.367
Tb 0.500 0.367 0.000
Sm 0.500 0.732 0.000
Sm 0.500 0.333 0.667
Pm 0.000 0.427 0.427
Sm 0.500 0.000 0.732
Sm 0.500 0.268 0.268
Sm 0.500 0.667 0.333
Pm 0.000 0.000 0.573
Pm 0.000 0.573 0.000

=====

Winner for stability: version a

=====

Version a
Compound: Tb8Pm4Sm3
Source: Alexandria
Functional: GGA-PBE
Structure: relaxed

Values from the calculation:
As for the symmetry: C2/m, No. 12. The density of states at the Fermi level comes out at 1.961 states/eV/atom.

a b c (Å): 6.818 9.329 9.329
angles (deg): 87.16 111.47 111.47
Fractional positions:
Tb 0.526 0.267 0.267
Tb 0.000 0.641 0.359
Pm 0.000 0.000 0.500
Tb 0.500 0.744 0.256
Pm 0.000 0.000 0.000
Tb 0.500 0.256 0.744
Sm 0.500 0.500 0.000
Tb 0.004 0.268 0.268
Tb 0.996 0.732 0.732
Pm 0.500 0.000 0.000
Tb 0.474 0.733 0.733
Tb 0.000 0.359 0.641
Sm 0.500 0.500 0.500
Pm 0.000 0.500 0.000
Sm 0.500 0.000 0.500

=====

Version b
Compound: Tb8Pm4Sm3
Source: Alexandria
Functional: GGA-PBE
Structure: relaxed

Values from the calculation:
As for the symmetry: R-3m, No. 166. The density of states at the Fermi level comes out at 1.610 states/eV/atom.

a b c (Å): 7.004 7.004 12.567
angles (deg): 73.82 73.82 60.00
Fractional positions:
Sm 0.000 0.500 0.500
Sm 0.500 0.000 0.500
Tb 0.250 0.752 0.749
Tb 0.752 0.250 0.749
Pm 0.664 0.664 0.009
Pm 0.000 0.000 0.000
Tb 0.246 0.246 0.263
Pm 0.336 0.336 0.991
Pm 0.500 0.500 0.500
Tb 0.248 0.750 0.251
Tb 0.750 0.248 0.251
Sm 0.000 0.000 0.500
Tb 0.754 0.754 0.737
Tb 0.750 0.750 0.251
Tb 0.250 0.250 0.749

=====

Winner for stability: version b

=====

Version a
Compound: TbPm7Sm4
Source: Alexandria
Functional: GGA-PBE
Structure: relaxed

Values from the calculation:
As for the symmetry: P-1, No. 2. The density of states at the Fermi level comes out at 1.265 states/eV/atom.

a b c (Å): 7.326 6.342 11.651
angles (deg): 79.53 50.99 89.99
Fractional positions:
Pm 0.082 0.278 0.668
Pm 0.500 0.000 0.000
Pm 0.750 0.500 0.000
Pm 0.333 0.778 0.667
Sm 0.419 0.722 0.332
Sm 0.167 0.222 0.333
Pm 0.918 0.722 0.332
Pm 0.667 0.222 0.333
Sm 0.581 0.278 0.668
Tb 0.000 0.000 0.000
Sm 0.833 0.778 0.667
Pm 0.250 0.500 0.000

=====

Version b
Compound: TbPm7Sm4
Source: Alexandria
Functional: GGA-PBE
Structure: relaxed

Values from the calculation:
As for the symmetry: C2/m, No. 12. The density of states at the Fermi level comes out at 1.562 states/eV/atom.

a b c (Å): 6.063 11.792 6.790
angles (deg): 83.62 63.48 75.10
Fractional positions:
Sm 0.762 0.676 0.800
Pm 0.789 0.922 0.501
Pm 0.936 0.320 0.808
Pm 0.630 0.500 0.239
Tb 0.000 0.000 0.000
Sm 0.238 0.324 0.200
Pm 0.211 0.078 0.499
Sm 0.359 0.777 0.505
Pm 0.064 0.680 0.192
Sm 0.641 0.223 0.495
Pm 0.500 0.000 0.000
Pm 0.370 0.500 0.761

=====

Winner for stability: version a

=====

Version a
Compound: TbPm7Sm3
Source: Alexandria
Functional: GGA-PBE
Structure: relaxed

Values from the calculation:
As for the symmetry: P2/m, No. 10. The density of states at the Fermi level comes out at 1.334 states/eV/atom.

a b c (Å): 5.672 10.170 9.069
angles (deg): 106.08 128.71 89.99
Fractional positions:
Pm 0.855 0.710 0.355
Pm 0.088 0.171 0.088
Pm 0.684 0.363 0.184
Pm 0.316 0.637 0.816
Pm 0.500 0.000 0.500
Sm 0.280 0.001 0.781
Sm 0.000 0.500 0.000
Sm 0.720 0.999 0.219
Pm 0.145 0.290 0.645
Pm 0.912 0.829 0.912
Tb 0.500 0.500 0.500

=====

Version b
Compound: TbPm7Sm3
Source: Alexandria
Functional: GGA-PBE
Structure: relaxed

Values from the calculation:
As for the symmetry: P3m1, No. 156. The density of states at the Fermi level comes out at 1.530 states/eV/atom.

a b c (Å): 8.747 7.211 7.211
angles (deg): 120.00 90.00 90.00
Fractional positions:
Sm 0.782 0.500 0.500
Sm 0.782 0.001 0.500
Tb 0.444 0.333 0.667
Pm 0.115 0.167 0.833
Pm 0.452 0.833 0.666
Pm 0.123 0.667 0.333
Sm 0.782 0.500 0.999
Pm 0.115 0.167 0.335
Pm 0.115 0.665 0.833
Pm 0.452 0.833 0.167
Pm 0.452 0.334 0.167

=====

Winner for stability: version a